Record 1
Entry from Alexandria: a relaxed CuAu2 crystal (GGA-PBEsol).

Computed properties:
The formation energy is -0.0280 eV/atom. Its density of states at the Fermi level is 1.05 states/eV/f.u.

a = 5.545 Å, b = 3.975 Å, c = 8.274 Å
α = 90.00°, β = 90.00°, γ = 90.00°
Space group Pnma (No. 62)
Symmetry-distinct sites (fractional):
Cu  0.141  0.250  0.087 [4 per cell]
Au  0.095  0.250  0.765 [4 per cell]
Au  0.144  0.250  0.424 [4 per cell]

=====

Record 2
Entry from Alexandria: a relaxed CuAu2 crystal (GGA-PBEsol).

Computed properties:
The formation energy is 0.0163 eV/atom. Its density of states at the Fermi level is 0.78 states/eV/f.u.

a = 4.3665 Å, b = 4.3665 Å, c = 2.7851 Å
α = 90.00°, β = 90.00°, γ = 120.00°
Space group P-3m1 (No. 164)
Symmetry-distinct sites (fractional):
Cu  0.0000  0.0000  0.0000 [1 per cell]
Au  0.3333  0.6667  0.7164 [2 per cell]

=====

Record 3
Entry from Alexandria: a relaxed CuAu5 crystal (GGA-PBEsol).

Computed properties:
The formation energy is -0.0192 eV/atom. Its density of states at the Fermi level is 1.91 states/eV/f.u.

a = 2.853 Å, b = 2.853 Å, c = 11.840 Å
α = 90.00°, β = 90.00°, γ = 90.00°
Space group P4/mmm (No. 123)
Symmetry-distinct sites (fractional):
Cu  0.000  0.000  0.000 [1 per cell]
Au  0.000  0.000  0.324 [2 per cell]
Au  0.500  0.500  0.147 [2 per cell]
Au  0.500  0.500  0.500 [1 per cell]

=====

Record 4
Entry from Alexandria: a relaxed CuAu2 crystal (GGA-PBEsol).

Computed properties:
The formation energy is -0.0409 eV/atom. Its density of states at the Fermi level is 0.88 states/eV/f.u.

a = 2.817 Å, b = 2.889 Å, c = 11.146 Å
α = 90.00°, β = 90.00°, γ = 90.00°
Space group Immm (No. 71)
Symmetry-distinct sites (fractional):
Cu  0.000  0.000  0.000 [2 per cell]
Au  0.000  0.000  0.345 [4 per cell]

=====

Record 5
Entry from Alexandria: a relaxed CuAu2 crystal (GGA-PBEsol).

Computed properties:
The formation energy is 0.0570 eV/atom. Its density of states at the Fermi level is 0.64 states/eV/f.u.

a = 11.394 Å, b = 11.394 Å, c = 11.394 Å
α = 90.00°, β = 90.00°, γ = 90.00°
Space group Fd-3m (No. 227, origin choice 2)
Symmetry-distinct sites (fractional):
Cu  0.037  0.037  0.213 [32 per cell]
Au  0.000  0.000  0.000 [16 per cell]
Au  0.061  0.375  0.875 [48 per cell]

=====

Record 6
Entry from Alexandria: a relaxed Cu3Au crystal (GGA-PBEsol).

Computed properties:
The formation energy is 0.0075 eV/atom. Its density of states at the Fermi level is 1.23 states/eV/f.u.

a = 5.253 Å, b = 7.316 Å, c = 2.686 Å
α = 90.00°, β = 90.00°, γ = 90.00°
Space group Cmmm (No. 65)
Symmetry-distinct sites (fractional):
Cu  0.000  0.000  0.000 [2 per cell]
Cu  0.250  0.250  0.500 [4 per cell]
Au  0.000  0.500  0.000 [2 per cell]

=====

Record 7
Entry from Alexandria: a relaxed CuAu4 crystal (GGA-PBEsol).

Computed properties:
The formation energy is -0.0098 eV/atom. Its density of states at the Fermi level is 1.51 states/eV/f.u.

a = 2.849 Å, b = 3.417 Å, c = 16.401 Å
α = 90.00°, β = 90.00°, γ = 90.00°
Space group Immm (No. 71)
Symmetry-distinct sites (fractional):
Cu  0.000  0.000  0.000 [2 per cell]
Au  0.000  0.000  0.196 [4 per cell]
Au  0.000  0.000  0.411 [4 per cell]

=====

Record 8
Entry from Alexandria: a relaxed Cu4Au5 crystal (GGA-PBEsol).

Computed properties:
The formation energy is 0.0202 eV/atom. Its density of states at the Fermi level is 2.70 states/eV/f.u.

a = 7.5927 Å, b = 7.5927 Å, c = 5.3114 Å
α = 90.00°, β = 90.00°, γ = 120.00°
Space group P6_3/mcm (No. 193)
Symmetry-distinct sites (fractional):
Cu  0.0000  0.0000  0.0000 [2 per cell]
Cu  0.0000  0.3537  0.2500 [6 per cell]
Au  0.0000  0.3058  0.7500 [6 per cell]
Au  0.3333  0.6667  0.0000 [4 per cell]

=====

Record 9
Entry from Alexandria: a relaxed CuAu3 crystal (GGA-PBEsol).

Computed properties:
The formation energy is -0.0010 eV/atom. Its density of states at the Fermi level is 1.21 states/eV/f.u.

a = 9.492 Å, b = 2.840 Å, c = 4.822 Å
α = 90.00°, β = 104.70°, γ = 90.00°
Space group C2/m (No. 12)
Symmetry-distinct sites (fractional):
Cu  0.000  0.000  0.000 [2 per cell]
Au  0.000  0.500  0.500 [2 per cell]
Au  0.237  0.500  0.240 [4 per cell]

=====

Record 10
Entry from Alexandria: a relaxed CuAu2 crystal (GGA-PBEsol).

Computed properties:
The formation energy is 0.0475 eV/atom. Its density of states at the Fermi level is 0.95 states/eV/f.u.

a = 6.188 Å, b = 6.188 Å, c = 4.816 Å
α = 90.00°, β = 90.00°, γ = 90.00°
Space group I4/mcm (No. 140)
Symmetry-distinct sites (fractional):
Cu  0.000  0.000  0.250 [4 per cell]
Au  0.157  0.343  0.000 [8 per cell]

=====

Record 11
Entry from Alexandria: a relaxed CuAu4 crystal (GGA-PBEsol).

Computed properties:
The formation energy is -0.0096 eV/atom. Its density of states at the Fermi level is 1.41 states/eV/f.u.

a = 9.792 Å, b = 2.845 Å, c = 7.079 Å
α = 90.00°, β = 126.11°, γ = 90.00°
Space group C2/m (No. 12)
Symmetry-distinct sites (fractional):
Cu  0.000  0.000  0.000 [2 per cell]
Au  0.089  0.500  0.377 [4 per cell]
Au  0.217  0.000  0.805 [4 per cell]

=====

Record 12
Entry from Alexandria: a relaxed CuAu3 crystal (GGA-PBEsol).

Computed properties:
The formation energy is 1.0252 eV/atom. Its density of states at the Fermi level is 1.68 states/eV/f.u.

a = 4.727 Å, b = 4.727 Å, c = 4.727 Å
α = 90.00°, β = 90.00°, γ = 90.00°
Space group Pm-3m (No. 221)
Symmetry-distinct sites (fractional):
Cu  0.000  0.000  0.000 [1 per cell]
Au  0.000  0.000  0.500 [3 per cell]

=====

Record 13
Entry from Alexandria: a relaxed Cu3Au crystal (GGA-PBEsol).

Computed properties:
The formation energy is 0.0605 eV/atom. Its density of states at the Fermi level is 1.02 states/eV/f.u.

a = 4.714 Å, b = 4.714 Å, c = 4.714 Å
α = 90.00°, β = 90.00°, γ = 90.00°
Space group Pm-3n (No. 223)
Symmetry-distinct sites (fractional):
Cu  0.000  0.250  0.500 [6 per cell]
Au  0.000  0.000  0.000 [2 per cell]

=====

Record 14
Entry from Alexandria: a relaxed CuAu3 crystal (GGA-PBEsol).

Computed properties:
The formation energy is -0.0193 eV/atom. Its density of states at the Fermi level is 0.99 states/eV/f.u.

a = 3.953 Å, b = 3.953 Å, c = 16.081 Å
α = 90.00°, β = 90.00°, γ = 90.00°
Space group I4/mmm (No. 139)
Symmetry-distinct sites (fractional):
Cu  0.000  0.000  0.126 [4 per cell]
Au  0.000  0.000  0.375 [4 per cell]
Au  0.000  0.500  0.000 [4 per cell]
Au  0.000  0.500  0.250 [4 per cell]

=====

Record 15
Entry from Alexandria: a relaxed Cu3Au crystal (GGA-PBEsol).

Computed properties:
The formation energy is 0.0014 eV/atom. Its density of states at the Fermi level is 1.28 states/eV/f.u.

a = 3.008 Å, b = 3.008 Å, c = 5.640 Å
α = 90.00°, β = 90.00°, γ = 90.00°
Space group P4/mmm (No. 123)
Symmetry-distinct sites (fractional):
Cu  0.000  0.000  0.000 [1 per cell]
Cu  0.500  0.500  0.226 [2 per cell]
Au  0.000  0.000  0.500 [1 per cell]

=====

Record 16
Entry from Alexandria: a relaxed CuAu4 crystal (GGA-PBEsol).

Computed properties:
The formation energy is -0.0080 eV/atom. Its density of states at the Fermi level is 1.46 states/eV/f.u.

a = 6.382 Å, b = 6.382 Å, c = 3.923 Å
α = 90.00°, β = 90.00°, γ = 90.00°
Space group I4/m (No. 87)
Symmetry-distinct sites (fractional):
Cu  0.000  0.000  0.000 [2 per cell]
Au  0.100  0.705  0.500 [8 per cell]

=====

Record 17
Entry from Alexandria: a relaxed Cu3Au crystal (GGA-PBEsol).

Computed properties:
The formation energy is 0.0067 eV/atom. Its density of states at the Fermi level is 1.65 states/eV/f.u.

a = 5.258 Å, b = 9.089 Å, c = 4.316 Å
α = 90.00°, β = 90.00°, γ = 90.00°
Space group Cmcm (No. 63)
Symmetry-distinct sites (fractional):
Cu  0.000  0.088  0.250 [4 per cell]
Cu  0.242  0.159  0.750 [8 per cell]
Au  0.000  0.404  0.750 [4 per cell]

=====

Record 18
Entry from Alexandria: a relaxed CuAu4 crystal (GGA-PBEsol).

Computed properties:
The formation energy is -0.0250 eV/atom. Its density of states at the Fermi level is 1.30 states/eV/f.u.

a = 2.846 Å, b = 2.846 Å, c = 19.581 Å
α = 90.00°, β = 90.00°, γ = 90.00°
Space group I4/mmm (No. 139)
Symmetry-distinct sites (fractional):
Cu  0.000  0.000  0.000 [2 per cell]
Au  0.000  0.000  0.197 [4 per cell]
Au  0.000  0.000  0.411 [4 per cell]

=====

Record 19
Entry from Alexandria: a relaxed Cu5Au4 crystal (GGA-PBEsol).

Computed properties:
The formation energy is -0.0393 eV/atom. Its density of states at the Fermi level is 2.65 states/eV/f.u.

a = 8.092 Å, b = 8.092 Å, c = 3.822 Å
α = 90.00°, β = 90.00°, γ = 90.00°
Space group I4/mmm (No. 139)
Symmetry-distinct sites (fractional):
Cu  0.000  0.000  0.000 [2 per cell]
Cu  0.161  0.161  0.500 [8 per cell]
Au  0.000  0.317  0.000 [8 per cell]

=====

Record 20
Entry from Alexandria: a relaxed Cu3Au crystal (GGA-PBEsol).

Computed properties:
The formation energy is 0.0120 eV/atom. Its density of states at the Fermi level is 1.31 states/eV/f.u.

a = 2.674 Å, b = 4.263 Å, c = 4.526 Å
α = 90.00°, β = 90.00°, γ = 90.00°
Space group Pmm2 (No. 25)
Symmetry-distinct sites (fractional):
Cu  0.000  0.000  0.000 [1 per cell]
Cu  0.000  0.500  0.321 [1 per cell]
Cu  0.500  0.500  0.846 [1 per cell]
Au  0.500  0.000  0.501 [1 per cell]